Record 1
First-principles (PBE-GGA) data for a relaxed structure of Ac5Pr2Rh4, as listed in the Alexandria database.

Values from the calculation:
- total magnetization (μB/cell) = 0.00
- energy above the most stable polymorph in this dataset (eV per atom) = 0.175
- total DFT energy (no corrections) (eV/atom) = -5.79
- energy relative to the elements (eV per atom) = -0.377

a = 4.089 Å, b = 7.417 Å, c = 17.236 Å
α = 133.42°, β = 96.81°, γ = 90.00°
Positions (direct):
Rh  0.659  0.709  0.318
Ac  0.500  0.000  0.000
Rh  0.035  0.857  0.070
Rh  0.341  0.291  0.682
Ac  0.139  0.360  0.278
Ac  0.861  0.640  0.722
Rh  0.965  0.143  0.930
Ac  0.222  0.118  0.444
Ac  0.778  0.882  0.556
Pr  0.927  0.376  0.854
Pr  0.073  0.624  0.146

---

Record 2
First-principles (PBE-GGA) data for a relaxed structure of LaHo3Tm8, as listed in the Alexandria database.

Values from the calculation:
- total magnetization (μB/cell) = 0.01
- total DFT energy (no corrections) (eV/atom) = -4.53
- energy relative to the elements (eV per atom) = 0.009

a = 8.362 Å, b = 8.367 Å, c = 8.362 Å
α = 96.18°, β = 136.31°, γ = 99.74°
Positions (direct):
Ho  0.501  0.748  0.249
Ho  0.501  0.252  0.752
Tm  0.832  0.085  0.252
Tm  0.499  0.831  0.668
Ho  0.167  0.500  0.667
Tm  0.167  0.420  0.252
Tm  0.832  0.580  0.746
Tm  0.832  0.665  0.167
Tm  0.837  0.169  0.668
Tm  0.166  0.915  0.747
Tm  0.502  0.335  0.167
La  0.165  0.000  0.165

---

Record 3
First-principles (PBE-GGA) data for a relaxed structure of Nb2SbBr2, as listed in the Alexandria database.

Values from the calculation:
- total magnetization (μB/cell) = 0.00
- E_form (uncorrected) (meV/atom) = 252
- total DFT energy (no corrections) (eV/atom) = -5.27

a = 4.363 Å, b = 4.363 Å, c = 6.817 Å
α = 71.33°, β = 71.33°, γ = 90.00°
Positions (direct):
Nb  0.400  0.400  0.200
Nb  0.600  0.600  0.800
Br  0.750  0.250  0.500
Sb  0.000  0.000  0.000
Br  0.250  0.750  0.500

---

Record 4
First-principles (PBE-GGA) data for a relaxed structure of K3Tb3InS8, as listed in the Alexandria database.

Values from the calculation:
- total magnetization (μB/cell) = 0.00
- E_form (uncorrected) (meV/atom) = -1514
- total DFT energy (no corrections) (eV/atom) = -5.04

a = 7.986 Å, b = 7.993 Å, c = 8.843 Å
α = 116.92°, β = 90.00°, γ = 119.98°
Positions (direct):
Tb  0.500  0.000  0.500
S  0.734  0.468  0.702
Tb  0.500  0.500  0.500
S  0.740  0.969  0.697
K  0.000  0.500  0.000
S  0.772  0.031  0.303
K  0.500  0.500  0.000
S  0.228  0.969  0.697
S  0.266  0.532  0.298
K  0.000  0.000  0.000
S  0.772  0.543  0.303
Tb  0.000  0.500  0.500
In  0.000  0.000  0.500
S  0.228  0.457  0.697
S  0.260  0.031  0.303

---

Record 5
First-principles (PBE-GGA) data for a relaxed structure of TcSe2I, as listed in the Alexandria database.

Values from the calculation:
- total magnetization (μB/cell) = 0.00
- E_form (uncorrected) (meV/atom) = -116
- energy above the most stable polymorph in this dataset (eV per atom) = 0.093
- total DFT energy (no corrections) (eV/atom) = -4.84

a = 8.351 Å, b = 9.707 Å, c = 4.228 Å
α = 123.52°, β = 114.12°, γ = 90.55°
Positions (direct):
Se  0.892  0.784  0.760
Se  0.201  0.721  0.430
Tc  0.133  0.987  0.896
I  0.849  0.345  0.788
I  0.262  0.289  0.677
Tc  0.973  0.058  0.457
Se  0.694  0.925  0.432
Se  0.440  0.990  0.911

---

Record 6
First-principles (PBE-GGA) data for a relaxed structure of Dy2YScSb4, as listed in the Alexandria database.

Values from the calculation:
- total magnetization (μB/cell) = 0.00
- E_form (uncorrected) (meV/atom) = -1080
- total DFT energy (no corrections) (eV/atom) = -5.89

a = 4.338 Å, b = 7.508 Å, c = 7.506 Å
α = 109.49°, β = 90.00°, γ = 90.00°
Positions (direct):
Sc  0.000  0.000  0.000
Y  0.500  0.500  0.000
Dy  0.000  0.500  0.500
Sb  0.500  0.760  0.760
Dy  0.500  0.000  0.500
Sb  0.000  0.245  0.754
Sb  0.500  0.240  0.240
Sb  0.000  0.755  0.246